ZnNiMo2H | PBE-GGA | relaxed

The structure in POSCAR format:
```
ZnNiMo2H
1.0
-3.2274 -0.2537 -2.0409
-0.5708 -3.5380 1.3424
-2.0851 1.5159 3.1088
Ni Mo Zn H
1 2 1 1
Direct
0.0000 0.0000 0.5000
0.0000 0.5000 0.0000
0.5000 0.0000 0.0000
0.5000 0.5000 0.5000
0.0000 0.0000 0.0000
```

Computed properties:
**DOS(E_F)**: 3.393 states/eV/f.u.
**Calculated total energy**: -0.46514 Ry per atom

***

Sr3TiO | PBE-GGA | relaxed

The structure in POSCAR format:
```
Sr3TiO
1.0
-3.5167 1.2622 3.7235
-3.4944 -3.2930 -2.1840
1.8019 -3.9227 3.0315
Sr O Ti
3 1 1
Direct
0.0000 0.5000 0.0000
0.0000 0.0000 0.5000
0.5000 0.0000 0.0000
0.0000 0.0000 0.0000
0.5000 0.5000 0.5000
```

Computed properties:
**DOS(E_F)**: 7.336 states/eV/f.u.
**Calculated total energy**: -0.30929 Ry per atom
**Raw formation energy**: -0.628 eV/atom
**Excess energy over the best structure of this formula in the dataset**: 0 meV per atom

***

Which of these has the highest calculated total energy? Sr3TiO